Version one
# La2ZrTa, optimized geometry, DFT GGA-PBE
data_La2ZrTa
_chemical_formula_sum 'La4 Zr2 Ta2'
_cell_length_a 3.787
_cell_length_b 5.363
_cell_length_c 10.728
_cell_angle_alpha 90.00
_cell_angle_beta 90.00
_cell_angle_gamma 90.00
_symmetry_space_group_name_H-M 'I m m 2'
_symmetry_Int_Tables_number 44
loop_
_symmetry_equiv_pos_as_xyz
'x,y,z'
'-x,-y,z'
'-x,y,z'
'x,-y,z'
'x+1/2,y+1/2,z+1/2'
'-x+1/2,-y+1/2,z+1/2'
'-x+1/2,y+1/2,z+1/2'
'x+1/2,-y+1/2,z+1/2'
loop_
_atom_site_label
_atom_site_type_symbol
_atom_site_fract_x
_atom_site_fract_y
_atom_site_fract_z
_atom_site_occupancy
La1 La 0.000 0.000 0.000 1
La2 La 0.000 0.500 0.231 1
Zr1 Zr 0.000 0.000 0.454 1
Ta1 Ta 0.000 0.500 0.761 1
# - Spin magnetization: 0.000 Bohr magnetons per cell

Version two
# La2ZrTa, optimized geometry, DFT GGA-PBE
data_La2ZrTa
_chemical_formula_sum 'La2 Zr1 Ta1'
_cell_length_a 3.281
_cell_length_b 4.624
_cell_length_c 7.084
_cell_angle_alpha 90.00
_cell_angle_beta 90.00
_cell_angle_gamma 90.00
_symmetry_space_group_name_H-M 'P m m 2'
_symmetry_Int_Tables_number 25
loop_
_symmetry_equiv_pos_as_xyz
'x,y,z'
'-x,-y,z'
'-x,y,z'
'x,-y,z'
loop_
_atom_site_label
_atom_site_type_symbol
_atom_site_fract_x
_atom_site_fract_y
_atom_site_fract_z
_atom_site_occupancy
La1 La 0.000 0.000 0.000 1
La2 La 0.500 0.500 0.278 1
Zr1 Zr 0.500 0.500 0.715 1
Ta1 Ta 0.000 0.000 0.553 1
# - Spin magnetization: 0.000 Bohr magnetons per cell

Each structure's energy above the most stable one, in meV/atom: version one 45; version two 0.